# PBE La2Si, optimized geometry
data_La2Si
_cell_length_a 5.719
_cell_length_b 5.717
_cell_length_c 4.057
_cell_angle_alpha 69.25
_cell_angle_beta 69.20
_cell_angle_gamma 41.56
_symmetry_space_group_name_H-M 'P 1'
_symmetry_Int_Tables_number 1
loop_
_symmetry_equiv_pos_as_xyz
'x,y,z'
loop_
_atom_site_label
_atom_site_type_symbol
_atom_site_fract_x
_atom_site_fract_y
_atom_site_fract_z
La1 La 0.150 0.150 0.850
La2 La 0.850 0.850 0.150
Si1 Si 0.500 0.500 0.500
# Formation energy without anion corrections ... -0.415 eV per atom
# Symmetry ... Fmmm, No. 69

***

# PBE La2Si, optimized geometry
data_La2Si
_cell_length_a 4.747
_cell_length_b 4.747
_cell_length_c 4.324
_cell_angle_alpha 90.00
_cell_angle_beta 90.00
_cell_angle_gamma 120.00
_symmetry_space_group_name_H-M 'P 1'
_symmetry_Int_Tables_number 1
loop_
_symmetry_equiv_pos_as_xyz
'x,y,z'
loop_
_atom_site_label
_atom_site_type_symbol
_atom_site_fract_x
_atom_site_fract_y
_atom_site_fract_z
La1 La 0.333 0.667 0.203
La2 La 0.667 0.333 0.797
Si1 Si 0.000 0.000 0.500
# Formation energy without anion corrections ... -0.370 eV per atom
# Symmetry ... P-3m1, No. 164

***

# PBE LaSi5, optimized geometry
data_LaSi5
_cell_length_a 6.067
_cell_length_b 6.067
_cell_length_c 5.733
_cell_angle_alpha 104.97
_cell_angle_beta 104.97
_cell_angle_gamma 36.33
_symmetry_space_group_name_H-M 'P 1'
_symmetry_Int_Tables_number 1
loop_
_symmetry_equiv_pos_as_xyz
'x,y,z'
loop_
_atom_site_label
_atom_site_type_symbol
_atom_site_fract_x
_atom_site_fract_y
_atom_site_fract_z
La1 La 0.000 0.000 0.000
Si1 Si 0.292 0.292 0.046
Si2 Si 0.302 0.302 0.609
Si3 Si 0.666 0.666 0.407
Si4 Si 0.679 0.679 0.838
Si5 Si 0.885 0.885 0.424
# Formation energy without anion corrections ... -0.024 eV per atom
# Symmetry ... Cm, No. 8

***

# PBE La2Si, optimized geometry
data_La2Si
_cell_length_a 13.651
_cell_length_b 13.651
_cell_length_c 13.651
_cell_angle_alpha 164.00
_cell_angle_beta 164.00
_cell_angle_gamma 22.71
_symmetry_space_group_name_H-M 'P 1'
_symmetry_Int_Tables_number 1
loop_
_symmetry_equiv_pos_as_xyz
'x,y,z'
loop_
_atom_site_label
_atom_site_type_symbol
_atom_site_fract_x
_atom_site_fract_y
_atom_site_fract_z
La1 La 0.316 0.566 0.750
La2 La 0.434 0.684 0.750
La3 La 0.566 0.316 0.250
La4 La 0.684 0.434 0.250
Si1 Si 0.125 0.875 0.250
Si2 Si 0.875 0.125 0.750
# Formation energy without anion corrections ... -0.293 eV per atom
# Symmetry ... I4_1/amd, No. 141